DFT (PBE+U) results for a relaxed structure of RbCr2AgO8.

The calculation puts the density of states at the Fermi level at 0.9 states/eV/f.u. The calculated total energy is -5.8703 eV/atom.

It has space group P-3 (No. 147), with a = 5.2896 Å, b = 5.2896 Å, c = 8.4255 Å, α = 90.00°, β = 90.00° and γ = 120.00°. The asymmetric unit holds Rb at (0.0000, 0.0000, 0.0000), Cr at (0.3333, 0.6667, 0.7210), Ag at (0.0000, 0.0000, 0.5000), O at (0.0512, 0.3458, 0.6611) and O at (0.3333, 0.6667, 0.9149).